The following is a PBE calculation of an optimized crystal structure of HgIrRh2N, from Alexandria.

Results
- Space-group type: P4/mmm, No. 123
- Raw formation energy: 0.3219 eV/atom

Cell lengths 4.255, 3.966, 4.255 Å; angles 90.00, 90.00, 90.00 degrees
Fractional coordinates of all 5 atoms:
Ir 0.000 0.500 0.000
Rh 0.000 0.000 0.500
Rh 0.500 0.000 0.000
Hg 0.500 0.500 0.500
N 0.000 0.000 0.000

***

The following is a PBE calculation of an optimized crystal structure of KSiAg, from Alexandria.

Results
- Space-group type: F-43m, No. 216
- Raw formation energy: 1.1093 eV/atom
- E above lowest polymorph: 1117 meV/atom

Cell lengths 5.214, 5.214, 5.214 Å; angles 60.00, 60.00, 60.00 degrees
Fractional coordinates of all 3 atoms:
Ag 0.500 0.500 0.500
K 0.750 0.750 0.750
Si 0.000 0.000 0.000

***

The following is a PBE calculation of an optimized crystal structure of Mg5In2Pd2Pb, from Alexandria.

Results
- Space-group type: P4/mbm, No. 127
- Formation energy from the elements: -0.28 eV/atom

Cell lengths 3.484, 11.263, 11.263 Å; angles 90.00, 90.00, 90.00 degrees
Fractional coordinates of all 20 atoms:
Mg 0.500 0.216 0.053
Mg 0.500 0.784 0.947
Mg 0.500 0.053 0.784
Mg 0.500 0.716 0.447
Mg 0.500 0.947 0.216
Mg 0.500 0.284 0.553
Mg 0.500 0.553 0.716
Mg 0.500 0.447 0.284
Mg 0.500 0.500 0.000
Mg 0.500 0.000 0.500
In 0.000 0.683 0.183
In 0.000 0.317 0.817
In 0.000 0.183 0.317
In 0.000 0.817 0.683
Pd 0.000 0.128 0.628
Pd 0.000 0.872 0.372
Pd 0.000 0.628 0.872
Pd 0.000 0.372 0.128
Pb 0.000 0.000 0.000
Pb 0.000 0.500 0.500

***

The following is a PBE calculation of an optimized crystal structure of Mn2AgP, from Alexandria.

Results
- Space-group type: P4mm, No. 99
- Formation energy from the elements: 0.08 eV/atom

Cell lengths 2.895, 2.895, 6.794 Å; angles 90.00, 90.00, 90.00 degrees
Fractional coordinates of all 4 atoms:
Ag 0.500 0.500 0.744
Mn 0.000 0.000 0.038
Mn 0.500 0.500 0.285
P 0.000 0.000 0.432

***

The following is a PBE calculation of an optimized crystal structure of Ca2TbZr, from Alexandria.

Results
- Space-group type: R-3m, No. 166
- Formation energy from the elements: 0.45 eV/atom

Cell lengths 3.394, 3.394, 12.995 Å; angles 82.50, 82.50, 60.00 degrees
Fractional coordinates of all 4 atoms:
Ca 0.085 0.085 0.745
Ca 0.915 0.915 0.255
Tb 0.500 0.500 0.500
Zr 0.000 0.000 0.000

***

The following is a PBE calculation of an optimized crystal structure of Cd5Au3, from Alexandria.

Results
- Space-group type: Imm2, No. 44
- E above lowest polymorph: 60 meV/atom
- Formation energy from the elements: -0.11 eV/atom

Cell lengths 3.739, 4.551, 9.904 Å; angles 103.28, 100.88, 90.00 degrees
Fractional coordinates of all 8 atoms:
Cd 0.990 0.990 0.980
Cd 0.623 0.123 0.245
Cd 0.255 0.255 0.511
Cd 0.884 0.384 0.767
Cd 0.128 0.628 0.256
Au 0.509 0.509 0.018
Au 0.746 0.746 0.492
Au 0.366 0.866 0.731

***

The following is a PBE calculation of an optimized crystal structure of AcP3Ir3, from Alexandria.

Results
- Space-group type: Pm-3n, No. 223
- Formation energy from the elements: -0.69 eV/atom

Cell lengths 6.522, 6.522, 6.522 Å; angles 90.00, 90.00, 90.00 degrees
Fractional coordinates of all 14 atoms:
P 0.000 0.250 0.500
P 0.000 0.750 0.500
P 0.500 0.000 0.750
P 0.750 0.500 0.000
P 0.500 0.000 0.250
P 0.250 0.500 0.000
Ac 0.500 0.500 0.500
Ac 0.000 0.000 0.000
Ir 0.250 0.000 0.500
Ir 0.000 0.500 0.250
Ir 0.500 0.750 0.000
Ir 0.750 0.000 0.500
Ir 0.000 0.500 0.750
Ir 0.500 0.250 0.000

***

The following is a PBE calculation of an optimized crystal structure of Cs6AsH2, from Alexandria.

Results
- Space-group type: C2/m, No. 12
- Electronic total energy: -1.995 eV/atom

Cell lengths 6.292, 9.241, 9.497 Å; angles 74.27, 70.66, 70.10 degrees
Fractional coordinates of all 9 atoms:
Cs 0.744 0.636 0.875
Cs 0.256 0.364 0.125
Cs 0.977 0.840 0.207
Cs 0.361 0.704 0.573
Cs 0.023 0.160 0.793
Cs 0.639 0.296 0.427
As 0.000 0.500 0.500
H 0.192 0.697 0.919
H 0.808 0.303 0.081